Below is a relaxed structure of Ba2SrCrO6, with properties calculated at the GGA+U level.

Results
SG = Fm-3m
E = -6.39 eV per atom
mass density = 5.50 g cm⁻³

Unit cell a=6.0161 b=6.0161 c=6.0161 alpha=60.00 beta=60.00 gamma=60.00
Closest atoms and distances in Å follow each position.
Fractional coordinates of all 10 atoms:
O (0.7817, 0.7817, 0.2183)  1 Cr 1.86
O (0.2183, 0.7817, 0.2183)  1 Cr 1.86
O (0.2183, 0.2183, 0.7817)  1 Cr 1.86
O (0.2183, 0.7817, 0.7817)  1 Cr 1.86
O (0.7817, 0.2183, 0.2183)  1 Cr 1.86
O (0.7817, 0.2183, 0.7817)  1 Cr 1.86
Sr (0.5000, 0.5000, 0.5000)  6 O 2.40
Ba (0.2500, 0.2500, 0.2500)  12 O 3.02
Ba (0.7500, 0.7500, 0.7500)  12 O 3.02
Cr (0.0000, 0.0000, 0.0000)  6 O 1.86